[1]
DFT (GGA-PBE) results for NpNbRhO6 after structural relaxation.

Its uncorrected formation energy is -18.36 eV/f.u.

CIF file:
```
data_NpNbRhO6
_space_group_name_H-M_alt 'P -3 1 c'
_space_group_IT_number 163
_space_group_name_Hall '-P 3 2c'
_cell_length_a 5.4574
_cell_length_b 5.4574
_cell_length_c 8.7748
_cell_angle_alpha 90.00
_cell_angle_beta 90.00
_cell_angle_gamma 120.00
loop_
_atom_site_label
_atom_site_type_symbol
_atom_site_fract_x
_atom_site_fract_y
_atom_site_fract_z
Np1 Np 0.3333 0.6667 0.2500
Nb1 Nb 0.3333 0.6667 0.7500
Rh1 Rh 0.0000 0.0000 0.0000
O1 O 0.0158 0.3460 0.6283
```


[2]
DFT (GGA-PBE) results for NpScNbO6 after structural relaxation.

Its uncorrected formation energy is -26.50 eV/f.u.

CIF file:
```
data_NpScNbO6
_space_group_name_H-M_alt 'P -3 1 c'
_space_group_IT_number 163
_space_group_name_Hall '-P 3 2c'
_cell_length_a 5.3501
_cell_length_b 5.3501
_cell_length_c 9.6108
_cell_angle_alpha 90.00
_cell_angle_beta 90.00
_cell_angle_gamma 120.00
loop_
_atom_site_label
_atom_site_type_symbol
_atom_site_fract_x
_atom_site_fract_y
_atom_site_fract_z
Np1 Np 0.0000 0.0000 0.0000
Sc1 Sc 0.3333 0.6667 0.2500
Nb1 Nb 0.3333 0.6667 0.7500
O1 O 0.0137 0.3517 0.6350
```


[3]
DFT (GGA-PBE) results for Sr2NpNbO6 after structural relaxation.

Its uncorrected formation energy is -27.79 eV/f.u.

CIF file:
```
data_Sr2NpNbO6
_space_group_name_H-M_alt 'P 4/m m m'
_space_group_IT_number 123
_space_group_name_Hall '-P 4 2'
_cell_length_a 4.228
_cell_length_b 4.228
_cell_length_c 8.538
_cell_angle_alpha 90.00
_cell_angle_beta 90.00
_cell_angle_gamma 90.00
loop_
_atom_site_label
_atom_site_type_symbol
_atom_site_fract_x
_atom_site_fract_y
_atom_site_fract_z
Sr1 Sr 0.000 0.000 0.223
Np1 Np 0.500 0.500 0.500
Nb1 Nb 0.500 0.500 0.000
O1 O 0.000 0.500 0.000
O2 O 0.000 0.500 0.500
O3 O 0.500 0.500 0.238
```


[4]
DFT (GGA-PBE) results for NpNbTl2O6 after structural relaxation.

Its uncorrected formation energy is -21.10 eV/f.u.

CIF file:
```
data_NpNbTl2O6
_space_group_name_H-M_alt 'F m -3 m'
_space_group_IT_number 225
_space_group_name_Hall '-F 4 2 3'
_cell_length_a 8.434
_cell_length_b 8.434
_cell_length_c 8.434
_cell_angle_alpha 90.00
_cell_angle_beta 90.00
_cell_angle_gamma 90.00
loop_
_atom_site_label
_atom_site_type_symbol
_atom_site_fract_x
_atom_site_fract_y
_atom_site_fract_z
Np1 Np 0.000 0.000 0.000
Nb1 Nb 0.000 0.000 0.500
Tl1 Tl 0.250 0.250 0.250
O1 O 0.000 0.000 0.258
```


[5]
DFT (GGA-PBE) results for NpNbTlO6 after structural relaxation.

Its uncorrected formation energy is -21.14 eV/f.u.

CIF file:
```
data_NpNbTlO6
_space_group_name_H-M_alt 'P -3 1 c'
_space_group_IT_number 163
_space_group_name_Hall '-P 3 2c'
_cell_length_a 5.5792
_cell_length_b 5.5792
_cell_length_c 12.2682
_cell_angle_alpha 90.00
_cell_angle_beta 90.00
_cell_angle_gamma 120.00
loop_
_atom_site_label
_atom_site_type_symbol
_atom_site_fract_x
_atom_site_fract_y
_atom_site_fract_z
Np1 Np 0.3333 0.6667 0.2500
Nb1 Nb 0.3333 0.6667 0.7500
Tl1 Tl 0.0000 0.0000 0.0000
O1 O 0.0067 0.3882 0.6604
```